# LiAcNF | Alexandria | PBE | optimized geometry
# E	-5.813	eV per atom
data_LiAcNF
_cell_length_a 3.5669
_cell_length_b 3.9684
_cell_length_c 4.4337
_cell_angle_alpha 90.00
_cell_angle_beta 90.00
_cell_angle_gamma 90.00
_space_group_name_H-M_alt 'P m m m'
_space_group_IT_number 47
loop_
_space_group_symop_operation_xyz
'x,y,z'
'-x,-y,-z'
'-x,-y,z'
'x,y,-z'
'x,-y,-z'
'-x,y,z'
'-x,y,-z'
'x,-y,z'
loop_
_atom_site_label
_atom_site_type_symbol
_atom_site_fract_x
_atom_site_fract_y
_atom_site_fract_z
_atom_site_occupancy
Li1 Li 0.0000 0.0000 0.0000 1
Ac1 Ac 0.5000 0.5000 0.5000 1
N1 N 0.0000 0.0000 0.5000 1
F1 F 0.0000 0.5000 0.0000 1



# Na2LiAcF8 | Alexandria | PBE | optimized geometry
# E	-4.736	eV per atom
data_Na2LiAcF8
_cell_length_a 4.2887
_cell_length_b 5.7478
_cell_length_c 7.2160
_cell_angle_alpha 102.47
_cell_angle_beta 91.95
_cell_angle_gamma 94.61
_space_group_name_H-M_alt 'P -1'
_space_group_IT_number 2
loop_
_space_group_symop_operation_xyz
'x,y,z'
'-x,-y,-z'
loop_
_atom_site_label
_atom_site_type_symbol
_atom_site_fract_x
_atom_site_fract_y
_atom_site_fract_z
_atom_site_occupancy
Na1 Na 0.0370 0.4103 0.2467 1
Li1 Li 0.5000 0.0000 0.0000 1
Ac1 Ac 0.5000 0.0000 0.5000 1
F1 F 0.0380 0.2457 0.5252 1
F2 F 0.0827 0.8996 0.0568 1
F3 F 0.3897 0.7119 0.1755 1
F4 F 0.4688 0.7700 0.7518 1